# 1
DFT (GGA-PBE) results for CeSmGa2Rh2 after structural relaxation.

Calculated values
formation enthalpy at 0 K	-0.7796	eV/atom
total magnetization	0.00	μB per formula unit

abc: 4.433 4.433 7.179
angles: 90.00 90.00 120.00
Positions (direct):
Ce 0.000 0.000 0.500
Sm 0.000 0.000 0.000
Ga 0.667 0.333 0.750
Ga 0.333 0.667 0.250
Rh 0.667 0.333 0.271
Rh 0.333 0.667 0.729

# 2
DFT (GGA-PBE) results for YNiSCl2 after structural relaxation.

Calculated values
relative energy among the computed polymorphs	210.7	meV per atom
total magnetization	1.05	μB per formula unit
ΔE_f (raw)	-0.650	eV/atom

abc: 5.192 5.192 5.342
angles: 90.00 90.00 90.00
Site moments in Bohr magnetons follow the coordinates.
Positions (direct):
Y 0.000 0.000 0.000  0.00
Ni 0.500 0.500 0.500  0.97
S 0.000 0.000 0.500  0.01
Cl 0.000 0.500 0.000  0.00
Cl 0.500 0.000 0.000  0.00

Number 1 is which compound? CeSmGa2Rh2

total magnetization of number 2 (YNiSCl2)? 1.05 μB per formula unit

Please write out number 1 again, unchanged.
DFT (GGA-PBE) results for CeSmGa2Rh2 after structural relaxation.

Calculated values
formation enthalpy at 0 K	-0.7796	eV/atom
total magnetization	0.00	μB per formula unit

abc: 4.433 4.433 7.179
angles: 90.00 90.00 120.00
Positions (direct):
Ce 0.000 0.000 0.500
Sm 0.000 0.000 0.000
Ga 0.667 0.333 0.750
Ga 0.333 0.667 0.250
Rh 0.667 0.333 0.271
Rh 0.333 0.667 0.729